Record 1
A plane-wave DFT calculation with PBE was carried out for a geometry-optimized SrSb2Ru structure. Values from VASP.

Calculated values
- Space-group type: No. 119

```
&SYSTEM
  ibrav = 0, nat = 4, ntyp = 3
/
ATOMIC_SPECIES
Sr 87.62 Sr.upf
Sb 121.76 Sb.upf
Ru 101.07 Ru.upf
ATOMIC_POSITIONS angstrom
Sr 0.0000 0.0000 0.0000
Sb 0.0000 0.0000 4.9096
Sb 0.0000 2.2090 2.4548
Ru 2.2090 0.0000 2.4548
CELL_PARAMETERS angstrom
-2.2090 2.2090 4.9096
2.2090 -2.2090 4.9096
2.2090 2.2090 -4.9096
```

***

Record 2
A plane-wave DFT calculation with PBE was carried out for a geometry-optimized SrSb3Ru structure. Values from VASP.

Calculated values
- Excess energy over the best structure of this formula in the dataset: 0.00 eV per formula unit
- Space-group type: No. 221

```
&SYSTEM
  ibrav = 0, nat = 5, ntyp = 3
/
ATOMIC_SPECIES
Sr 87.62 Sr.upf
Sb 121.76 Sb.upf
Ru 101.07 Ru.upf
ATOMIC_POSITIONS angstrom
Sr 0.0000 0.0000 0.0000
Sb 0.0000 2.6302 2.6302
Sb 2.6302 0.0000 2.6302
Sb 2.6302 2.6302 0.0000
Ru 2.6302 2.6302 2.6302
CELL_PARAMETERS angstrom
5.2603 0.0000 0.0000
0.0000 5.2603 0.0000
0.0000 0.0000 5.2603
```

***

Record 3
A plane-wave DFT calculation with PBE was carried out for a geometry-optimized SrSb2Ru structure. Values from VASP.

Calculated values
- Space-group type: No. 44

```
&SYSTEM
  ibrav = 0, nat = 4, ntyp = 3
/
ATOMIC_SPECIES
Sr 87.62 Sr.upf
Sb 121.76 Sb.upf
Ru 101.07 Ru.upf
ATOMIC_POSITIONS angstrom
Sr 0.0000 0.0000 0.0000
Sb 0.0000 0.0000 5.6098
Sb 0.0000 1.9759 2.6178
Ru 1.7026 0.0000 3.5810
CELL_PARAMETERS angstrom
-1.7026 1.9759 7.7011
1.7026 -1.9759 7.7011
1.7026 1.9759 -7.7011
```

***

Record 4
A plane-wave DFT calculation with PBE was carried out for a geometry-optimized SrSb2Ru structure. Values from VASP.

Calculated values
- Space-group type: No. 122

```
&SYSTEM
  ibrav = 0, nat = 8, ntyp = 3
/
ATOMIC_SPECIES
Sr 87.62 Sr.upf
Sb 121.76 Sb.upf
Ru 101.07 Ru.upf
ATOMIC_POSITIONS angstrom
Sr 0.0000 0.0000 0.0000
Sr 0.0000 4.0609 1.6719
Sb 2.0305 2.6652 -0.8360
Sb 5.4566 2.0305 0.8360
Sb 2.0305 1.3957 2.5079
Sb -1.3957 2.0305 4.1798
Ru 4.0609 0.0000 1.6719
Ru 0.0000 0.0000 3.3438
CELL_PARAMETERS angstrom
-4.0609 4.0609 3.3438
4.0609 -4.0609 3.3438
4.0609 4.0609 -3.3438
```

***

Record 5
A plane-wave DFT calculation with PBE was carried out for a geometry-optimized SrSbRu3 structure. Values from VASP.

Calculated values
- Excess energy over the best structure of this formula in the dataset: 0.00 eV per formula unit
- Space-group type: No. 221

```
&SYSTEM
  ibrav = 0, nat = 5, ntyp = 3
/
ATOMIC_SPECIES
Sr 87.62 Sr.upf
Sb 121.76 Sb.upf
Ru 101.07 Ru.upf
ATOMIC_POSITIONS angstrom
Sr 0.0000 0.0000 0.0000
Sb 2.4639 2.4639 2.4639
Ru 0.0000 2.4639 2.4639
Ru 2.4639 0.0000 2.4639
Ru 2.4639 2.4639 0.0000
CELL_PARAMETERS angstrom
4.9278 0.0000 0.0000
0.0000 4.9278 0.0000
0.0000 0.0000 4.9278
```

***

Record 6
A plane-wave DFT calculation with PBE was carried out for a geometry-optimized Sr4SbRu structure. Values from VASP.

Calculated values
- Space-group type: No. 216

```
&SYSTEM
  ibrav = 0, nat = 6, ntyp = 3
/
ATOMIC_SPECIES
Sr 87.62 Sr.upf
Sb 121.76 Sb.upf
Ru 101.07 Ru.upf
ATOMIC_POSITIONS angstrom
Sr 1.1649 1.1649 1.1649
Sr 3.5012 3.5012 1.1649
Sr 3.5012 1.1649 3.5012
Sr 1.1649 3.5012 3.5012
Sb 4.6661 4.6661 4.6661
Ru 6.9991 6.9991 6.9991
CELL_PARAMETERS angstrom
0.0000 4.6661 4.6661
4.6661 0.0000 4.6661
4.6661 4.6661 0.0000
```

***

Number 1: formation energy from raw total energies 0.1372 eV/atom. Number 2: formation energy from raw total energies -0.0471 eV/atom. Number 3: formation energy from raw total energies -0.2234 eV/atom. Number 4: formation energy from raw total energies -0.2503 eV/atom. Number 5: formation energy from raw total energies 0.8966 eV/atom. Number 6: formation energy from raw total energies 0.7628 eV/atom.